No. 1
VASP calculation (PBE) on an optimized crystal structure of SmAl9Pd2.

## Properties
The density of states at the Fermi level comes out at 0.26 states/eV/atom. Its total energy is -4.50 eV/atom. The calculation puts the formation energy from the elements at -0.4364 eV per atom.

Lattice parameters (Å, degrees): 10.722 10.722 7.213 90.00 90.00 90.00
Space group I4_1/amd (No. 141, origin choice 2)
Inequivalent atoms, fractional coordinates:
1 Sm 0.000 0.250 0.375 x4
2 Al 0.000 0.250 0.875 x4
3 Al 0.122 0.048 0.681 x32
4 Pd 0.000 0.000 0.000 x8

***

No. 2
VASP calculation (PBE) on an optimized crystal structure of Ag2AsRu.

## Properties
The density of states at the Fermi level comes out at 0.91 states/eV/atom. Its total energy is -4.52 eV/atom. The calculation puts the formation energy from the elements at 0.3825 eV per atom.

Lattice parameters (Å, degrees): 4.543 4.543 6.395 90.00 90.00 90.00
Space group I-4m2 (No. 119)
Inequivalent atoms, fractional coordinates:
1 Ag 0.000 0.000 0.000 x2
2 Ag 0.000 0.500 0.250 x2
3 As 0.000 0.000 0.500 x2
4 Ru 0.000 0.500 0.750 x2

***

No. 3
VASP calculation (PBE) on an optimized crystal structure of Cr2ReRu.

## Properties
The density of states at the Fermi level comes out at 1.00 states/eV/atom. Its total energy is -10.09 eV/atom. The calculation puts the formation energy from the elements at 0.1532 eV per atom.

Lattice parameters (Å, degrees): 2.683 3.663 5.394 90.00 90.00 90.00
Space group Pmmm (No. 47)
Inequivalent atoms, fractional coordinates:
1 Cr 0.000 0.000 0.246 x2
2 Re 0.500 0.500 0.500 x1
3 Ru 0.500 0.500 0.000 x1

***

No. 4
VASP calculation (PBE) on an optimized crystal structure of Er4Sc9Cd11.

## Properties
The density of states at the Fermi level comes out at 1.12 states/eV/atom. Its total energy is -3.76 eV/atom. The calculation puts the formation energy from the elements at -0.2054 eV per atom.

Lattice parameters (Å, degrees): 15.371 22.170 3.297 90.00 90.00 90.00
Space group Cmmm (No. 65)
Inequivalent atoms, fractional coordinates:
1 Er 0.169 0.082 0.000 x8
2 Sc 0.000 0.000 0.000 x2
3 Sc 0.107 0.403 0.000 x8
4 Sc 0.113 0.227 0.000 x8
5 Cd 0.000 0.129 0.500 x4
6 Cd 0.000 0.313 0.500 x4
7 Cd 0.000 0.500 0.500 x2
8 Cd 0.198 0.500 0.500 x4
9 Cd 0.225 0.317 0.500 x8

***

No. 5
VASP calculation (PBE) on an optimized crystal structure of RbCd2Ga2.

## Properties
The density of states at the Fermi level comes out at 0.28 states/eV/atom. Its total energy is -1.74 eV/atom. The calculation puts the excess energy over the best structure of this formula in the dataset at 0.079 eV per atom. The calculation puts the formation energy from the elements at 0.0319 eV per atom.

Lattice parameters (Å, degrees): 9.182 9.182 3.052 90.00 90.00 90.00
Space group P4/mbm (No. 127)
Inequivalent atoms, fractional coordinates:
1 Rb 0.000 0.000 0.000 x2
2 Cd 0.144 0.356 0.500 x4
3 Ga 0.145 0.645 0.000 x4

***

No. 6
VASP calculation (PBE) on an optimized crystal structure of SrTmAgCl6.

## Properties
The density of states at the Fermi level comes out at 0.00 states/eV/atom. Its total energy is -4.14 eV/atom. Its uncorrected formation energy is -1910 meV per atom.

Lattice parameters (Å, degrees): 7.0949 7.0949 11.9346 90.00 90.00 120.00
Space group P-31c (No. 163)
Inequivalent atoms, fractional coordinates:
1 Sr 0.3333 0.6667 0.2500 x2
2 Tm 0.3333 0.6667 0.7500 x2
3 Ag 0.0000 0.0000 0.0000 x2
4 Cl 0.0316 0.3582 0.6265 x12

***

No. 7
VASP calculation (PBE) on an optimized crystal structure of AcTbHoTh.

## Properties
The density of states at the Fermi level comes out at 1.71 states/eV/atom. Its total energy is -5.04 eV/atom. The calculation puts the formation energy from the elements at 0.1454 eV per atom.

Lattice parameters (Å, degrees): 8.216 8.216 8.216 90.00 90.00 90.00
Space group F-43m (No. 216)
Inequivalent atoms, fractional coordinates:
1 Ac 0.000 0.000 0.000 x4
2 Tb 0.250 0.250 0.750 x4
3 Ho 0.250 0.250 0.250 x4
4 Th 0.000 0.000 0.500 x4

***

No. 8
VASP calculation (PBE) on an optimized crystal structure of Na3YBi2Te6.

## Properties
The density of states at the Fermi level comes out at 0.00 states/eV/atom. Its total energy is -3.89 eV/atom. Its uncorrected formation energy is -802 meV per atom.

Lattice parameters (Å, degrees): 7.781 13.487 8.027 90.00 108.89 90.00
Space group C2/m (No. 12)
Inequivalent atoms, fractional coordinates:
1 Na 0.000 0.000 0.000 x2
2 Na 0.000 0.327 0.000 x4
3 Y 0.000 0.500 0.500 x2
4 Bi 0.000 0.166 0.500 x4
5 Te 0.242 0.335 0.734 x8
6 Te 0.250 0.000 0.736 x4